AlInO3 | PBE | relaxed

Structure (POSCAR):
```
AlInO3
1.0
5.295 0.000 0.000
0.000 7.496 0.000
0.000 0.000 5.112
Al In O
4 4 12
direct
0.000 0.000 0.000
0.000 0.500 0.000
0.500 0.000 0.500
0.500 0.500 0.500
0.054 0.250 0.481
0.446 0.750 0.981
0.554 0.250 0.019
0.946 0.750 0.519
0.045 0.750 0.111
0.202 0.559 0.699
0.202 0.941 0.699
0.298 0.059 0.199
0.298 0.441 0.199
0.455 0.250 0.611
0.545 0.750 0.389
0.702 0.559 0.801
0.702 0.941 0.801
0.798 0.059 0.301
0.798 0.441 0.301
0.955 0.250 0.889
```

Calculated density = 6.21 g/cm³
Calculated total energy = -6.5042 eV per atom
Crystal system = orthorhombic
D(E_F) = 0.00 states/eV per cell
Uncorrected formation energy = -2233 meV per atom